1.
A plane-wave DFT calculation with PBE was carried out for crystalline HoErPb2 at its relaxed geometry.

Fermi-level density of states	1.72	states/eV/f.u.
size of the total moment	0.00	μB/f.u.
total DFT energy (no corrections)	-0.327	Ry/atom
space-group type	No. 160
formation energy	-1.2	eV per formula unit
calculated volume	32.0	Å³ per atom

Unit cell a=7.0765 b=7.0765 c=7.0765 alpha=39.31 beta=39.31 gamma=39.31
Fractional positions:
Ho 0.0000 0.0000 0.0000
Er 0.8212 0.8212 0.8212
Pb 0.4130 0.4130 0.4130
Pb 0.5787 0.5787 0.5787

2.
A plane-wave DFT calculation with PBE was carried out for crystalline Ho2Er8Pb at its relaxed geometry.

Fermi-level density of states	15.52	states/eV/f.u.
size of the total moment	0.00	μB/f.u.
total DFT energy (no corrections)	-0.334	Ry/atom
space-group type	No. 12
formation energy	-0.6	eV per formula unit
calculated volume	30.6	Å³ per atom

Unit cell a=10.0188 b=10.0188 c=6.3694 alpha=95.01 beta=95.01 gamma=31.88
Fractional positions:
Ho 0.2440 0.2440 0.3361
Ho 0.7560 0.7560 0.6639
Er 0.0454 0.0454 0.2720
Er 0.1541 0.1541 0.8018
Er 0.3366 0.3366 0.8759
Er 0.4209 0.4209 0.4030
Er 0.5791 0.5791 0.5970
Er 0.6634 0.6634 0.1241
Er 0.8459 0.8459 0.1982
Er 0.9546 0.9546 0.7280
Pb 0.5000 0.5000 0.0000

3.
A plane-wave DFT calculation with PBE was carried out for crystalline Ho6Er12Pb at its relaxed geometry.

Fermi-level density of states	26.25	states/eV/f.u.
size of the total moment	0.00	μB/f.u.
total DFT energy (no corrections)	-0.327	Ry/atom
space-group type	No. 148
formation energy	1.3	eV per formula unit
calculated volume	31.0	Å³ per atom

Unit cell a=8.3878 b=8.3878 c=8.3878 alpha=88.59 beta=88.59 gamma=88.59
Fractional positions:
Ho 0.1960 0.5936 0.7568
Ho 0.2432 0.8040 0.4064
Ho 0.4064 0.2432 0.8040
Ho 0.5936 0.7568 0.1960
Ho 0.7568 0.1960 0.5936
Ho 0.8040 0.4064 0.2432
Er 0.0421 0.2771 0.9324
Er 0.0676 0.9579 0.7229
Er 0.1377 0.3066 0.4907
Er 0.2771 0.9324 0.0421
Er 0.3066 0.4907 0.1377
Er 0.4907 0.1377 0.3066
Er 0.5093 0.8623 0.6934
Er 0.6934 0.5093 0.8623
Er 0.7229 0.0676 0.9579
Er 0.8623 0.6934 0.5093
Er 0.9324 0.0421 0.2771
Er 0.9579 0.7229 0.0676
Pb 0.5000 0.5000 0.5000

4.
A plane-wave DFT calculation with PBE was carried out for crystalline Ho3ErPb2 at its relaxed geometry.

energy above the most stable polymorph in this dataset	0	meV/atom
Fermi-level density of states	3.45	states/eV/f.u.
size of the total moment	0.00	μB/f.u.
total DFT energy (no corrections)	-0.345	Ry/atom
space-group type	No. 115
formation energy	-2.4	eV per formula unit
calculated volume	29.2	Å³ per atom

Unit cell a=4.5425 b=4.5425 c=8.5051 alpha=90.00 beta=90.00 gamma=90.00
Fractional positions:
Ho 0.0000 0.0000 0.0000
Ho 0.0000 0.5000 0.6596
Ho 0.5000 0.0000 0.3404
Er 0.5000 0.5000 0.0000
Pb 0.0000 0.5000 0.2852
Pb 0.5000 0.0000 0.7148

5.
A plane-wave DFT calculation with PBE was carried out for crystalline Ho3Er5Pb2 at its relaxed geometry.

Fermi-level density of states	11.14	states/eV/f.u.
size of the total moment	0.00	μB/f.u.
total DFT energy (no corrections)	-0.318	Ry/atom
space-group type	No. 72
formation energy	0.8	eV per formula unit
calculated volume	31.5	Å³ per atom

Unit cell a=10.5973 b=10.5973 c=10.5973 alpha=106.48 beta=83.89 gamma=145.37
Fractional positions:
Ho 0.2114 0.1185 0.3300
Ho 0.2500 0.2500 0.0000
Ho 0.2886 0.6185 0.9071
Ho 0.7114 0.3815 0.0929
Ho 0.7500 0.7500 0.0000
Ho 0.7886 0.8815 0.6700
Er 0.1646 0.3972 0.5618
Er 0.2500 0.5015 0.2515
Er 0.2500 0.7500 0.5000
Er 0.2500 0.9985 0.7485
Er 0.3354 0.8972 0.2325
Er 0.6646 0.1028 0.7675
Er 0.7500 0.0015 0.2515
Er 0.7500 0.2500 0.5000
Er 0.7500 0.4985 0.7485
Er 0.8354 0.6028 0.4382
Pb 0.1489 0.8566 0.0055
Pb 0.3511 0.3566 0.7078
Pb 0.6489 0.6434 0.2922
Pb 0.8511 0.1434 0.9945

6.
A plane-wave DFT calculation with PBE was carried out for crystalline Ho2Er3Pb2 at its relaxed geometry.

Fermi-level density of states	7.30	states/eV/f.u.
size of the total moment	0.00	μB/f.u.
total DFT energy (no corrections)	-0.339	Ry/atom
space-group type	No. 12
formation energy	-2.0	eV per formula unit
calculated volume	30.1	Å³ per atom

Unit cell a=6.3422 b=6.3422 c=8.4365 alpha=108.03 beta=108.03 gamma=41.12
Fractional positions:
Ho 0.1280 0.1280 0.2750
Ho 0.8720 0.8720 0.7250
Er 0.3757 0.3757 0.0633
Er 0.5000 0.5000 0.5000
Er 0.6243 0.6243 0.9367
Pb 0.1755 0.1755 0.6924
Pb 0.8245 0.8245 0.3076

7.
A plane-wave DFT calculation with PBE was carried out for crystalline HoErPb2 at its relaxed geometry.

Fermi-level density of states	3.82	states/eV/f.u.
size of the total moment	0.00	μB/f.u.
total DFT energy (no corrections)	-0.333	Ry/atom
space-group type	No. 123
formation energy	-1.6	eV per formula unit
calculated volume	28.0	Å³ per atom

Unit cell a=5.0499 b=5.0499 c=4.3843 alpha=90.00 beta=90.00 gamma=90.00
Fractional positions:
Ho 0.0000 0.0000 0.0000
Er 0.5000 0.5000 0.0000
Pb 0.0000 0.5000 0.5000
Pb 0.5000 0.0000 0.5000

8.
A plane-wave DFT calculation with PBE was carried out for crystalline HoEr3Pb at its relaxed geometry.

energy above the most stable polymorph in this dataset	39	meV/atom
Fermi-level density of states	5.79	states/eV/f.u.
size of the total moment	0.00	μB/f.u.
total DFT energy (no corrections)	-0.333	Ry/atom
space-group type	No. 14
formation energy	-0.7	eV per formula unit
calculated volume	30.3	Å³ per atom

Unit cell a=8.9389 b=8.4709 c=9.4034 alpha=90.00 beta=121.52 gamma=90.00
Fractional positions:
Ho 0.2091 0.0627 0.2875
Ho 0.2091 0.4373 0.7875
Ho 0.7909 0.5627 0.2125
Ho 0.7909 0.9373 0.7125
Er 0.0757 0.6921 0.0382
Er 0.0757 0.8079 0.5382
Er 0.2133 0.0633 0.9265
Er 0.2133 0.4367 0.4265
Er 0.4108 0.0846 0.7047
Er 0.4108 0.4154 0.2047
Er 0.5892 0.5846 0.7953
Er 0.5892 0.9154 0.2953
Er 0.7867 0.5633 0.5735
Er 0.7867 0.9367 0.0735
Er 0.9243 0.1921 0.4618
Er 0.9243 0.3079 0.9618
Pb 0.4036 0.7502 0.4530
Pb 0.4036 0.7498 0.9530
Pb 0.5964 0.2502 0.0470
Pb 0.5964 0.2498 0.5470

Question: The highest total DFT energy (no corrections) belongs to which entry?
Answer: Ho3Er5Pb2

Question: Look up the Fermi-level density of states of the sixth one.
Answer: 7.30 states/eV/f.u.